# 1
A plane-wave DFT calculation with GGA-PBE was carried out for TbY12Er5 after structural relaxation.

It has space group C2/m (No. 12), with a = 6.176 Å, b = 10.694 Å, c = 17.405 Å, α = 90.00°, β = 96.79° and γ = 90.00°. The distinct sites, in fractional coordinates, are Tb at (0.000, 0.000, 0.000), Y at (0.112, 0.000, 0.333), Y at (0.112, 0.333, 0.333), Y at (0.222, 0.500, 0.166), Y at (0.223, 0.167, 0.166), Er at (0.000, 0.167, 0.500), Er at (0.000, 0.333, 0.000) and Er at (0.000, 0.500, 0.500).

The calculation puts the electronic total energy at -5.820 eV/atom. The formation energy comes out at 14 meV/atom. For the density of states at the Fermi level, the calculation gives 52.1 states/eV/cell.

***

# 2
A plane-wave DFT calculation with GGA-PBE was carried out for Th2ScUTc6 after structural relaxation.

It has space group Fm-3m (No. 225), with a = 9.477 Å, b = 9.477 Å, c = 9.477 Å, α = 90.00°, β = 90.00° and γ = 90.00°. The distinct sites, in fractional coordinates, are Th at (0.250, 0.250, 0.250), Sc at (0.000, 0.000, 0.000), U at (0.000, 0.000, 0.500) and Tc at (0.000, 0.000, 0.252).

The calculation puts the electronic total energy at -8.801 eV/atom. The formation energy comes out at 664 meV/atom. For the density of states at the Fermi level, the calculation gives 24.7 states/eV/cell.

***

# 3
A plane-wave DFT calculation with GGA-PBE was carried out for SbRuSe2Br after structural relaxation.

It has space group P4/mmm (No. 123), with a = 5.139 Å, b = 5.139 Å, c = 5.374 Å, α = 90.00°, β = 90.00° and γ = 90.00°. The distinct sites, in fractional coordinates, are Sb at (0.000, 0.000, 0.000), Ru at (0.500, 0.500, 0.000), Se at (0.000, 0.500, 0.500) and Br at (0.000, 0.000, 0.500).

The calculation puts the electronic total energy at -2.870 eV/atom. For the density of states at the Fermi level, the calculation gives 6.1 states/eV/cell. As for the offset from the most stable computed form: 1220 meV/atom.

***

# 4
A plane-wave DFT calculation with GGA-PBE was carried out for AlZn2Re after structural relaxation.

It has space group P4mm (No. 99), with a = 3.267 Å, b = 3.267 Å, c = 5.529 Å, α = 90.00°, β = 90.00° and γ = 90.00°. The distinct sites, in fractional coordinates, are Al at (0.000, 0.000, 0.000), Zn at (0.000, 0.000, 0.477), Zn at (0.500, 0.500, 0.722) and Re at (0.500, 0.500, 0.218).

The calculation puts the electronic total energy at -4.581 eV/atom. The formation energy comes out at 104 meV/atom. For the density of states at the Fermi level, the calculation gives 2.5 states/eV/cell.

***

# 5
A plane-wave DFT calculation with GGA-PBE was carried out for ScAlInAg after structural relaxation.

It has space group F-43m (No. 216), with a = 6.820 Å, b = 6.820 Å, c = 6.820 Å, α = 90.00°, β = 90.00° and γ = 90.00°. The distinct sites, in fractional coordinates, are Sc at (0.000, 0.000, 0.000), Al at (0.000, 0.000, 0.500), In at (0.250, 0.250, 0.250) and Ag at (0.250, 0.250, 0.750).

The calculation puts the electronic total energy at -4.077 eV/atom. The formation energy comes out at -161 meV/atom. For the density of states at the Fermi level, the calculation gives 7.2 states/eV/cell.

***

# 6
A plane-wave DFT calculation with GGA-PBE was carried out for SmP2Pd6 after structural relaxation.

It has space group P4/mmm (No. 123), with a = 4.101 Å, b = 4.101 Å, c = 8.660 Å, α = 90.00°, β = 90.00° and γ = 90.00°. The distinct sites, in fractional coordinates, are Sm at (0.000, 0.000, 0.000), P at (0.500, 0.500, 0.129), Pd at (0.000, 0.000, 0.500), Pd at (0.000, 0.500, 0.272) and Pd at (0.500, 0.500, 0.500).

The calculation puts the electronic total energy at -5.818 eV/atom. The formation energy comes out at -630 meV/atom. For the density of states at the Fermi level, the calculation gives 6.2 states/eV/cell. As for the offset from the most stable computed form: 0 meV/atom.

***

Q: The highest electronic total energy belongs to which entry?
A: SbRuSe2Br

***

Q: Look up the electronic total energy of the sixth one.
A: -5.818 eV/atom

***

What did the second record say?
A plane-wave DFT calculation with GGA-PBE was carried out for Th2ScUTc6 after structural relaxation.

It has space group Fm-3m (No. 225), with a = 9.477 Å, b = 9.477 Å, c = 9.477 Å, α = 90.00°, β = 90.00° and γ = 90.00°. The distinct sites, in fractional coordinates, are Th at (0.250, 0.250, 0.250), Sc at (0.000, 0.000, 0.000), U at (0.000, 0.000, 0.500) and Tc at (0.000, 0.000, 0.252).

The calculation puts the electronic total energy at -8.801 eV/atom. The formation energy comes out at 664 meV/atom. For the density of states at the Fermi level, the calculation gives 24.7 states/eV/cell.